(1)
The following is a DFT calculation (PBE-GGA) of crystalline Be17TcW at its relaxed geometry.

Structure (POSCAR):
```
Be17TcW
1.0
-1.9816 -4.8973 1.4365
1.5386 0.1835 5.2510
-4.7653 1.7862 2.0186
Be Tc W
17 1 1
direct
0.3038 0.9976 0.6993
0.6993 0.3038 0.9976
0.9976 0.6993 0.3038
0.3038 0.6993 0.9976
0.9976 0.3038 0.6993
0.6993 0.9976 0.3038
0.3520 0.8339 0.3520
0.3520 0.3520 0.8339
0.8339 0.3520 0.3520
0.6503 0.1552 0.6503
0.6503 0.6503 0.1552
0.1552 0.6503 0.6503
0.0041 0.4969 0.0041
0.0041 0.0041 0.4969
0.4969 0.0041 0.0041
0.8979 0.8979 0.8979
0.0996 0.0996 0.0996
0.6632 0.6632 0.6632
0.3387 0.3387 0.3387
```

Summary:
As for the crystal system: trigonal. Its volume is 8.5 Å³ per atom. For the total energy, the calculation gives -4.7071 eV per atom. The value obtained for the density is 4.492 g/cm³.



(2)
The following is a DFT calculation (PBE-GGA) of crystalline YBeTc2 at its relaxed geometry.

Structure (POSCAR):
```
YBeTc2
1.0
-2.7827 2.3030 3.7069
-4.7547 1.3218 -1.5601
3.3054 -3.8974 0.8204
Y Be Tc
1 1 2
direct
0.7500 0.2500 0.5000
0.2500 0.7500 0.5000
0.0434 0.0434 0.0000
0.4566 0.4566 0.0000
```

Summary:
As for the crystal system: orthorhombic. Its volume is 15.9 Å³ per atom. For the total energy, the calculation gives -7.4476 eV per atom. The value obtained for the density is 7.685 g/cm³.



(3)
The following is a DFT calculation (PBE-GGA) of crystalline YBeTc2 at its relaxed geometry.

Structure (POSCAR):
```
YBeTc2
1.0
-4.4308 -0.4057 2.7349
-2.2322 -4.7152 0.2454
4.7667 1.9977 0.7514
Y Be Tc
1 1 2
direct
0.2500 0.7500 0.5000
0.7500 0.2500 0.5000
0.0000 0.0000 0.0000
0.5000 0.5000 0.0000
```

Summary:
As for the crystal system: tetragonal. Its volume is 16.5 Å³ per atom. For the total energy, the calculation gives -7.3128 eV per atom. The value obtained for the density is 7.396 g/cm³.



(4)
The following is a DFT calculation (PBE-GGA) of crystalline YBeTc2 at its relaxed geometry.

Structure (POSCAR):
```
YBeTc2
1.0
5.2541 -0.0120 -0.0032
2.2039 4.7695 0.0032
-3.1937 -3.2179 2.6553
Y Be Tc
1 1 2
direct
0.5043 0.5043 0.0000
0.2201 0.7201 0.5000
0.9979 0.9979 0.0000
0.7777 0.2777 0.5000
```

Summary:
As for the crystal system: orthorhombic. Its volume is 16.7 Å³ per atom. For the total energy, the calculation gives -7.4401 eV per atom. The value obtained for the density is 7.324 g/cm³.



(5)
The following is a DFT calculation (PBE-GGA) of crystalline Y2BeTc at its relaxed geometry.

Structure (POSCAR):
```
Y2BeTc
1.0
-2.6656 0.9152 1.7489
-1.9208 -0.5155 -2.6546
-1.0648 -7.2730 2.1828
Y Be Tc
2 1 1
direct
0.0000 0.0000 0.9254
0.5000 0.5000 0.3315
0.0000 0.0000 0.5727
0.5000 0.5000 0.6704
```

Summary:
As for the crystal system: tetragonal. Its volume is 21.1 Å³ per atom. For the total energy, the calculation gives -6.7574 eV per atom. The value obtained for the density is 5.606 g/cm³.



(6)
The following is a DFT calculation (PBE-GGA) of crystalline YBeTc2 at its relaxed geometry.

Structure (POSCAR):
```
YBeTc2
1.0
3.2248 0.0000 0.0000
0.0000 3.2248 0.0000
0.0000 0.0000 6.3731
Y Be Tc
1 1 2
direct
0.5000 0.5000 0.2500
0.5000 0.5000 0.7500
0.0000 0.0000 0.9264
0.0000 0.0000 0.5736
```

Summary:
As for the crystal system: tetragonal. Its volume is 16.6 Å³ per atom. For the total energy, the calculation gives -7.6746 eV per atom. The value obtained for the density is 7.364 g/cm³.